Here is crystalline NaCe3Bi4 at its relaxed geometry from Alexandria via LeMat-Bulk. Energies are from GGA-PBE.

a b c (Å): 6.4806 6.4806 6.4806
angles (deg): 90.00 90.00 90.00
Last column: nearest neighbours and their distance in Å.
Space group Pm-3m (No. 221)
One atom of each set of equivalent atoms:
Na  0.0000  0.0000  0.0000 [1 per cell]  6 Bi 3.24
Ce  0.0000  0.5000  0.5000 [3 per cell]  6 Bi 3.24
Bi  0.0000  0.0000  0.5000 [3 per cell]  4 Ce 3.24, 2 Na 3.24
Bi  0.5000  0.5000  0.5000 [1 per cell]  6 Ce 3.24

Calculated values
Energy of formation, eV/atom: -0.583

=====

Here is crystalline SrLiTlHg2 at its relaxed geometry from Alexandria via LeMat-Bulk. Energies are from GGA-PBE.

a b c (Å): 5.1284 5.1284 5.1705
angles (deg): 90.00 90.00 90.00
Last column: nearest neighbours and their distance in Å.
Space group P4/mmm (No. 123)
One atom of each set of equivalent atoms:
Sr  0.0000  0.0000  0.0000 [1 per cell]  4 Tl 3.63, 8 Hg 3.64
Li  0.5000  0.5000  0.5000 [1 per cell]  4 Hg 2.56, 2 Tl 2.59
Tl  0.5000  0.5000  0.0000 [1 per cell]  2 Li 2.59
Hg  0.0000  0.5000  0.5000 [2 per cell]  2 Li 2.56

Calculated values
Energy of formation, eV/atom: -0.275
Distance to the lowest polymorph of the same formula, meV per atom: 76.9

=====

Here is crystalline Mn2BSbBr at its relaxed geometry from Alexandria via LeMat-Bulk. Energies are from GGA-PBE.

a b c (Å): 4.5811 4.5811 4.6282
angles (deg): 90.00 90.00 90.00
Last column: nearest neighbours and their distance in Å.
Space group P4/mmm (No. 123)
One atom of each set of equivalent atoms:
Mn  0.0000  0.5000  0.0000 [2 per cell]  2 B 2.29
B  0.0000  0.0000  0.0000 [1 per cell]  4 Mn 2.29, 2 Sb 2.31
Sb  0.0000  0.0000  0.5000 [1 per cell]  2 B 2.31
Br  0.5000  0.5000  0.5000 [1 per cell]  4 Sb 3.24, 8 Mn 3.26

=====

Here is crystalline VRuCCl2 at its relaxed geometry from Alexandria via LeMat-Bulk. Energies are from GGA-PBE.

a b c (Å): 4.2854 4.2854 4.0296
angles (deg): 90.00 90.00 90.00
Last column: nearest neighbours and their distance in Å.
Space group P4/mmm (No. 123)
One atom of each set of equivalent atoms:
V  0.0000  0.0000  0.0000 [1 per cell]  2 C 2.01
Ru  0.5000  0.5000  0.0000 [1 per cell]  8 Cl 2.94, 4 V 3.03
C  0.0000  0.0000  0.5000 [1 per cell]  2 V 2.01, 4 Cl 2.14
Cl  0.0000  0.5000  0.5000 [2 per cell]  2 C 2.14

=====

Here is crystalline SmZnAu2 at its relaxed geometry from Alexandria via LeMat-Bulk. Energies are from GGA-PBE.

a b c (Å): 4.6577 4.6577 3.9256
angles (deg): 90.00 90.00 90.00
Last column: nearest neighbours and their distance in Å.
Space group P4/mmm (No. 123)
One atom of each set of equivalent atoms:
Sm  0.0000  0.0000  0.0000 [1 per cell]  8 Au 3.05, 4 Zn 3.29
Zn  0.5000  0.5000  0.0000 [1 per cell]  8 Au 3.05, 4 Sm 3.29
Au  0.0000  0.5000  0.5000 [2 per cell]  4 Sm 3.05, 4 Zn 3.05, 4 Au 3.29

Calculated values
Energy of formation, eV/atom: -0.469

=====

Here is crystalline Li3Sm3PaSe8 at its relaxed geometry from Alexandria via LeMat-Bulk. Energies are from GGA-PBE.

a b c (Å): 8.3427 8.3427 19.4913
angles (deg): 90.00 90.00 120.00
Last column: nearest neighbours and their distance in Å.
Space group R-3m (No. 166, hexagonal axes)
One atom of each set of equivalent atoms:
Li  0.0000  0.5000  0.0000 [9 per cell]  6 Se 2.88
Sm  0.0000  0.5000  0.5000 [9 per cell]  6 Se 2.93-2.94
Pa  0.0000  0.0000  0.5000 [3 per cell]  6 Se 2.85
Se  0.0000  0.0000  0.2526 [6 per cell]  3 Li 2.88, 3 Sm 2.93
Se  0.0091  0.5045  0.2503 [18 per cell]  1 Pa 2.85, 2 Li 2.88, 2 Sm 2.94

=====

Spin magnetization list, top to bottom, in μB/f.u.: 1.5, 0.0, 8.4, 0.0, 0.0, 0.9
Density of states at the Fermi level list, top to bottom, in states/eV/atom: 2.15, 0.37, 0.72, 1.53, 0.55, 0.34
Calculated total energy list, top to bottom, in eV/atom: -4.9133, -1.5884, -5.5565, -4.6610, -3.6062, -5.4191